[1]
# Rb14HgO | Alexandria | GGA-PBE | relaxed
# DFT total energy = -1.336 eV/atom
# Formation energy without anion corrections = -3.700 kcal/mol of atoms
# DOS at the Fermi energy = 21.878 states/eV/cell
data_Rb14HgO
_cell_length_a 13.4478
_cell_length_b 11.4073
_cell_length_c 15.4400
_cell_angle_alpha 90.00
_cell_angle_beta 90.00
_cell_angle_gamma 90.00
_space_group_name_H-M_alt 'A m m 2'
_space_group_IT_number 38
loop_
_space_group_symop_operation_xyz
'x,y,z'
'-x,-y,z'
'-x,y,z'
'x,-y,z'
'x,y+1/2,z+1/2'
'-x,-y+1/2,z+1/2'
'-x,y+1/2,z+1/2'
'x,-y+1/2,z+1/2'
loop_
_atom_site_label
_atom_site_type_symbol
_atom_site_fract_x
_atom_site_fract_y
_atom_site_fract_z
Rb1 Rb 0.0000 0.0000 0.0000
Rb2 Rb 0.0000 0.0000 0.4570
Rb3 Rb 0.0000 0.2024 0.7302
Rb4 Rb 0.2455 0.0000 0.2072
Rb5 Rb 0.3143 0.0000 0.8816
Rb6 Rb 0.3578 0.1613 0.5696
Rb7 Rb 0.5000 0.1585 0.3553
Hg1 Hg 0.5000 0.0000 0.0852
O1 O 0.5000 0.0000 0.4967

=====

[2]
# Al3TlPd | Alexandria | GGA-PBE | relaxed
# DFT total energy = -3.805 eV/atom
# Excess energy over the best structure of this formula in the dataset = 0 meV per atom
# Energy of formation = -0.048 eV/atom
# DOS at the Fermi energy = 2.643 states/eV/cell
data_Al3TlPd
_cell_length_a 4.8241
_cell_length_b 4.8241
_cell_length_c 4.8241
_cell_angle_alpha 90.00
_cell_angle_beta 90.00
_cell_angle_gamma 90.00
_space_group_name_H-M_alt 'P m -3 m'
_space_group_IT_number 221
_space_group_name_Hall '-P 4 2 3'
loop_
_atom_site_label
_atom_site_type_symbol
_atom_site_fract_x
_atom_site_fract_y
_atom_site_fract_z
Al1 Al 0.0000 0.0000 0.5000
Tl1 Tl 0.5000 0.5000 0.5000
Pd1 Pd 0.0000 0.0000 0.0000

=====

[3]
# Sn4HgI8 | Alexandria | GGA-PBE | relaxed
# DFT total energy = -2.658 eV/atom
# Formation energy without anion corrections = -10.351 kcal/mol of atoms
# Excess energy over the best structure of this formula in the dataset = 0 meV per atom
# DOS at the Fermi energy = 0.000 states/eV/cell
data_Sn4HgI8
_cell_length_a 22.3358
_cell_length_b 4.5729
_cell_length_c 15.2901
_cell_angle_alpha 90.00
_cell_angle_beta 129.59
_cell_angle_gamma 90.00
_space_group_name_H-M_alt 'C 1 m 1'
_space_group_IT_number 8
loop_
_space_group_symop_operation_xyz
'x,y,z'
'x,-y,z'
'x+1/2,y+1/2,z'
'x+1/2,-y+1/2,z'
loop_
_atom_site_label
_atom_site_type_symbol
_atom_site_fract_x
_atom_site_fract_y
_atom_site_fract_z
Sn1 Sn 0.0000 0.0000 0.0000
Sn2 Sn 0.0128 0.5000 0.3665
Sn3 Sn 0.1898 0.0000 0.6986
Sn4 Sn 0.2024 0.5000 0.0651
Hg1 Hg 0.3465 0.5000 0.5260
I1 I 0.0226 0.5000 0.8710
I2 I 0.0583 0.5000 0.6067
I3 I 0.1442 0.0000 0.4582
I4 I 0.1798 0.0000 0.1939
I5 I 0.2227 0.0000 0.9430
I6 I 0.3125 0.5000 0.7721
I7 I 0.3900 0.5000 0.2924
I8 I 0.4795 0.0000 0.1218

=====

[4]
# PrYAgPt | Alexandria | GGA-PBE | relaxed
# DFT total energy = -5.730 eV/atom
# Energy of formation = -0.696 eV/atom
# DOS at the Fermi energy = 8.409 states/eV/cell
data_PrYAgPt
_cell_length_a 7.2660
_cell_length_b 7.2660
_cell_length_c 7.2660
_cell_angle_alpha 90.00
_cell_angle_beta 90.00
_cell_angle_gamma 90.00
_space_group_name_H-M_alt 'F -4 3 m'
_space_group_IT_number 216
_space_group_name_Hall 'F -4 2 3'
loop_
_atom_site_label
_atom_site_type_symbol
_atom_site_fract_x
_atom_site_fract_y
_atom_site_fract_z
Pr1 Pr 0.0000 0.0000 0.0000
Y1 Y 0.0000 0.0000 0.5000
Ag1 Ag 0.2500 0.2500 0.2500
Pt1 Pt 0.2500 0.2500 0.7500

=====

What is the formula in the fourth record? PrYAgPt

=====

Which of these has the lowest DOS at the Fermi energy? Sn4HgI8

=====

Please write out number 4 again, unchanged.
# PrYAgPt | Alexandria | GGA-PBE | relaxed
# DFT total energy = -5.730 eV/atom
# Energy of formation = -0.696 eV/atom
# DOS at the Fermi energy = 8.409 states/eV/cell
data_PrYAgPt
_cell_length_a 7.2660
_cell_length_b 7.2660
_cell_length_c 7.2660
_cell_angle_alpha 90.00
_cell_angle_beta 90.00
_cell_angle_gamma 90.00
_space_group_name_H-M_alt 'F -4 3 m'
_space_group_IT_number 216
_space_group_name_Hall 'F -4 2 3'
loop_
_atom_site_label
_atom_site_type_symbol
_atom_site_fract_x
_atom_site_fract_y
_atom_site_fract_z
Pr1 Pr 0.0000 0.0000 0.0000
Y1 Y 0.0000 0.0000 0.5000
Ag1 Ag 0.2500 0.2500 0.2500
Pt1 Pt 0.2500 0.2500 0.7500